(1)
# MnInAs2

MnInAs2 at its PBEsol-relaxed geometry (SCAN, Alexandria).

a = 5.436 Å, b = 3.826 Å, c = 3.826 Å
α = 89.94°, β = 90.00°, γ = 90.00°
Element x y z (fractional)
1 Mn 0.000 0.000 0.000
2 In 0.500 0.468 0.468
3 As 0.000 0.504 0.504
4 As 0.500 0.972 0.972

Spin magnetization   3.97 μB/cell
Calculated density   6.7 g cm⁻³
Fermi-level density of states   0.3385 states/eV per atom
Symmetry   Amm2
Uncorrected energy   -23.192 eV/atom
Energy of formation from the pure elements   -0.19 eV/atom

(2)
# MnIn2As

MnIn2As at its PBEsol-relaxed geometry (SCAN, Alexandria).

a = 5.313 Å, b = 5.313 Å, c = 5.313 Å
α = 133.09°, β = 133.09°, γ = 68.52°
Element x y z (fractional)
1 Mn 0.000 0.000 0.000
2 In 0.250 0.750 0.500
3 In 0.500 0.500 0.000
4 As 0.750 0.250 0.500

Spin magnetization   3.98 μB/cell
Calculated density   7.6 g cm⁻³
Fermi-level density of states   0.4066 states/eV per atom
Symmetry   I-4m2
Uncorrected energy   -26.211 eV/atom
Energy of formation from the pure elements   0.09 eV/atom

(3)
# Mn2InAs

Mn2InAs at its PBEsol-relaxed geometry (SCAN, Alexandria).

a = 3.732 Å, b = 3.996 Å, c = 4.250 Å
α = 90.00°, β = 90.00°, γ = 90.00°
Element x y z (fractional)
1 Mn 0.000 0.000 0.000
2 Mn 0.000 0.500 0.500
3 In 0.500 0.000 0.500
4 As 0.500 0.500 0.000

Excess energy over the best structure of this formula in the dataset   97 meV per atom
Spin magnetization   7.21 μB/cell
Calculated density   7.8 g cm⁻³
Fermi-level density of states   0.6691 states/eV per atom
Symmetry   Pmmm
Uncorrected energy   -22.566 eV/atom
Energy of formation from the pure elements   -0.04 eV/atom

(4)
# MnInAsOs2

MnInAsOs2 at its PBEsol-relaxed geometry (SCAN, Alexandria).

a = 4.425 Å, b = 4.425 Å, c = 4.684 Å
α = 90.00°, β = 90.00°, γ = 90.00°
Element x y z (fractional)
1 Mn 0.000 0.000 0.000
2 In 0.000 0.000 0.500
3 As 0.500 0.500 0.500
4 Os 0.000 0.500 0.000
5 Os 0.500 0.000 0.000

Spin magnetization   0.00 μB/cell
Calculated density   11.3 g cm⁻³
Fermi-level density of states   0.8652 states/eV per atom
Symmetry   P4/mmm
Uncorrected energy   -41.651 eV/atom
Energy of formation from the pure elements   1.47 eV/atom